Record 1
PrHo2Tm2: relaxed, GGA-PBE.

ΔE to the lowest computed polymorph: 0 meV per atom

Structure (CIF):
```
data_PrHo2Tm2
_chemical_formula_sum 'Pr2 Ho4 Tm4'
_cell_length_a 9.414
_cell_length_b 9.414
_cell_length_c 3.652
_cell_angle_alpha 90.00
_cell_angle_beta 90.00
_cell_angle_gamma 90.00
_symmetry_space_group_name_H-M 'P 4/m b m'
_symmetry_Int_Tables_number 127
_symmetry_space_group_name_Hall '-P 4 2ab'
loop_
_atom_site_label
_atom_site_type_symbol
_atom_site_fract_x
_atom_site_fract_y
_atom_site_fract_z
Pr1 Pr 0.000 0.000 0.000
Ho1 Ho 0.173 0.327 0.500
Tm1 Tm 0.123 0.623 0.000
```

***

Record 2
Pr3Ho6Tm: relaxed, GGA-PBE.

ΔE to the lowest computed polymorph: 0 meV per atom

Structure (CIF):
```
data_Pr3Ho6Tm
_chemical_formula_sum 'Pr12 Ho24 Tm4'
_cell_length_a 10.973
_cell_length_b 18.897
_cell_length_c 6.347
_cell_angle_alpha 90.00
_cell_angle_beta 90.00
_cell_angle_gamma 90.00
_symmetry_space_group_name_H-M 'C m c 21'
_symmetry_Int_Tables_number 36
_symmetry_space_group_name_Hall 'C 2c -2'
loop_
_atom_site_label
_atom_site_type_symbol
_atom_site_fract_x
_atom_site_fract_y
_atom_site_fract_z
Pr1 Pr 0.000 0.112 0.000
Pr2 Pr 0.175 0.387 0.395
Ho1 Ho 0.000 0.228 0.578
Ho2 Ho 0.000 0.460 0.807
Ho3 Ho 0.167 0.046 0.479
Ho4 Ho 0.240 0.210 0.301
Tm1 Tm 0.000 0.304 0.061
```

***

Record 3
PrHo14Tm: relaxed, GGA-PBE.

Structure (CIF):
```
data_PrHo14Tm
_chemical_formula_sum 'Pr2 Ho28 Tm2'
_cell_length_a 11.416
_cell_length_b 7.098
_cell_length_c 12.295
_cell_angle_alpha 90.00
_cell_angle_beta 90.00
_cell_angle_gamma 90.00
_symmetry_space_group_name_H-M 'A m m 2'
_symmetry_Int_Tables_number 38
_symmetry_space_group_name_Hall 'A 2 -2'
loop_
_atom_site_label
_atom_site_type_symbol
_atom_site_fract_x
_atom_site_fract_y
_atom_site_fract_z
Pr1 Pr 0.000 0.000 0.000
Ho1 Ho 0.000 0.250 0.250
Ho2 Ho 0.250 0.000 0.333
Ho3 Ho 0.252 0.000 0.833
Ho4 Ho 0.252 0.249 0.583
Ho5 Ho 0.500 0.000 0.166
Ho6 Ho 0.500 0.000 0.666
Ho7 Ho 0.500 0.250 0.416
Tm1 Tm 0.000 0.000 0.500
```

***

Number 1: E_form 0.42 eV/f.u., spin magnetization 0.01 μB/f.u.. Number 2: E_form 1.51 eV/f.u., spin magnetization 0.00 μB/f.u.. Number 3: E_form 0.10 eV/f.u., spin magnetization 0.00 μB/f.u..